(1)
# LaScMo2

A relaxed LaScMo2 crystal (PBE-GGA, the Alexandria database).

Computed properties:
Space group: P4/mmm, No. 123
Formation enthalpy at 0 K (eV per atom): 0.571
Calculated density (g cm⁻³): 7.8
Total moment (μB/cell): 0.00

Geometry as POSCAR:
```
LaScMo2
1.0
4.8162 0.0000 0.0000
0.0000 4.8162 0.0000
0.0000 0.0000 3.4489
La Sc Mo
1 1 2
Cartesian
0.0000 0.0000 0.0000
2.4081 2.4081 0.0000
0.0000 2.4081 1.7244
2.4081 0.0000 1.7244
```



(2)
# LaSc2Mo

A relaxed LaSc2Mo crystal (PBE-GGA, the Alexandria database).

Computed properties:
Space group: Immm, No. 71
Formation enthalpy at 0 K (eV per atom): 0.246
Calculated density (g cm⁻³): 5.7
Total moment (μB/cell): 0.00

Geometry as POSCAR:
```
LaSc2Mo
1.0
-1.7871 2.5138 5.3067
1.7871 -2.5138 5.3067
1.7871 2.5138 -5.3067
La Sc Mo
1 2 1
Cartesian
0.0000 0.0000 0.0000
1.7871 0.0000 3.0784
0.0000 2.5138 2.2283
0.0000 0.0000 5.3067
```